10
Lattice="3.1402 0.0000 0.0000 0.0000 3.1402 0.0000 0.0000 0.0000 12.2424" Properties=species:S:1:pos:R:3 comment="Hf2H2Pd meta-GGA SCAN single point on PBEsol structure" dos_ef_per_ev_atom=0.586 pbc="T T T"
Hf 0.0000 0.0000 1.7429
Hf 0.0000 0.0000 10.4995
Hf 1.5701 1.5701 4.3783
Hf 1.5701 1.5701 7.8641
H 0.0000 1.5701 3.0606
H 0.0000 1.5701 9.1818
H 1.5701 0.0000 3.0606
H 1.5701 0.0000 9.1818
Pd 0.0000 0.0000 6.1212
Pd 1.5701 1.5701 0.0000

8
Lattice="9.5143 0.0000 0.0000 0.0000 3.0094 0.0000 -1.0155 0.0000 5.1390" Properties=species:S:1:pos:R:3 comment="CdHg2Ru meta-GGA SCAN single point on PBEsol structure" ef_ev_per_atom=0.3809 dos_ef_per_ev_atom=0.424 pbc="T T T"
Cd 0.0000 0.0000 0.0000
Cd 4.7572 1.5047 0.0000
Hg 1.5500 0.0000 3.7844
Hg 2.1916 1.5047 1.3546
Hg 6.3072 1.5047 3.7844
Hg 6.9488 0.0000 1.3546
Ru -0.5077 1.5047 2.5695
Ru 4.2494 0.0000 2.5695

12
Lattice="3.1117 0.0000 0.0000 -1.5559 2.6948 0.0000 0.0000 0.0000 23.5166" Properties=species:S:1:pos:R:3 comment="TaMo2As meta-GGA SCAN single point on PBEsol structure" ef_ev_per_atom=0.1977 dos_ef_per_ev_atom=0.693 pbc="T T T"
Ta 0.0000 0.0000 0.0000
Ta 0.0000 1.7966 15.6778
Ta 1.5559 0.8983 7.8389
Mo 0.0000 0.0000 11.7566
Mo 0.0000 0.0000 17.6750
Mo 0.0000 1.7966 3.9178
Mo 0.0000 1.7966 9.8361
Mo 1.5559 0.8983 1.9972
Mo 1.5559 0.8983 19.5955
As 0.0000 0.0000 5.8225
As 0.0000 1.7966 21.5002
As 1.5559 0.8983 13.6613

10
Lattice="5.4925 0.0000 0.0000 0.0000 5.4925 0.0000 0.0000 0.0000 3.4903" Properties=species:S:1:pos:R:3 comment="Co4Cu meta-GGA SCAN single point on PBEsol structure" ef_ev_per_atom=0.0947 dos_ef_per_ev_atom=0.724 pbc="T T T"
Co 0.5109 3.8428 0.0000
Co 1.0965 2.2354 1.7452
Co 1.6498 0.5109 0.0000
Co 2.2354 4.3960 1.7452
Co 3.2571 1.0965 1.7452
Co 3.8428 4.9817 0.0000
Co 4.3960 3.2571 1.7452
Co 4.9817 1.6498 0.0000
Cu 0.0000 0.0000 1.7452
Cu 2.7463 2.7463 0.0000

6
Lattice="0.0000 3.8822 3.8822 3.8822 0.0000 3.8822 3.8822 3.8822 0.0000" Properties=species:S:1:pos:R:3 comment="BaTlPt4 meta-GGA SCAN single point on PBEsol structure" ef_ev_per_atom=-0.5117 dos_ef_per_ev_atom=0.292 pbc="T T T"
Ba 0.0000 0.0000 0.0000
Tl 5.8233 5.8233 5.8233
Pt 2.9179 2.9179 2.9179
Pt 4.8465 4.8465 2.9179
Pt 4.8465 2.9179 4.8465
Pt 2.9179 4.8465 4.8465

12
Lattice="1.8367 -6.9865 0.0000 1.8367 6.9865 0.0000 0.0000 0.0000 9.6184" Properties=species:S:1:pos:R:3 comment="KHfCuS3 meta-GGA SCAN single point on PBEsol structure" e_form_raw_ev_per_fu=-8.73 pbc="T T T"
K 1.8367 3.5543 7.2138
K 1.8367 -3.5543 2.4046
Hf 1.8367 0.0000 0.0000
Hf 1.8367 0.0000 4.8092
Cu 1.8367 6.4988 2.4046
Cu 1.8367 -6.4988 7.2138
S 1.8367 5.2867 0.4961
S 1.8367 5.2867 4.3131
S 1.8367 0.8946 2.4046
S 1.8367 -0.8946 7.2138
S 1.8367 -5.2867 5.3052
S 1.8367 -5.2867 9.1223

Number 1: E_tot -2.4697 Ry/atom. Number 2: E_tot -3.6758 Ry/atom. Number 3: E_tot -2.8619 Ry/atom. Number 4: E_tot -1.2339 Ry/atom. Number 5: E_tot -4.8479 Ry/atom. Number 6: E_tot -1.5167 Ry/atom.